# 1
{"formula": "NaScAs2Pd", "functional": "SCAN", "state": "PBEsol geometry", "lattice_angstrom": [[4.9597, 0.0000, 0.0000], [0.0000, 4.9597, 0.0000], [0.0000, 0.0000, 4.8525]], "species": ["Na", "Sc", "As", "As", "Pd"], "frac_coords": [[0.0000, 0.0000, 0.0000], [0.5000, 0.5000, 0.0000], [0.0000, 0.5000, 0.5000], [0.5000, 0.0000, 0.5000], [0.5000, 0.5000, 0.5000]], "magnetic_moment_mub_per_cell": 0.6, "formation_energy_kj_per_mol_fu": -1, "crystal_system": "tetragonal"}

# 2
{"formula": "Y4AgAs", "functional": "SCAN", "state": "PBEsol geometry", "lattice_angstrom": [[0.0000, 4.2810, 4.2810], [4.2810, 0.0000, 4.2810], [4.2810, 4.2810, 0.0000]], "species": ["Y", "Y", "Y", "Y", "Ag", "As"], "frac_coords": [[0.1245, 0.1245, 0.1245], [0.1245, 0.1245, 0.6266], [0.1245, 0.6266, 0.1245], [0.6266, 0.1245, 0.1245], [0.5000, 0.5000, 0.5000], [0.7500, 0.7500, 0.7500]], "magnetic_moment_mub_per_cell": 0.0, "formation_energy_kj_per_mol_fu": 244, "crystal_system": "cubic"}

# 3
{"formula": "NbAuSe2N", "functional": "SCAN", "state": "PBEsol geometry", "lattice_angstrom": [[5.1427, 0.0000, 0.0000], [0.0000, 5.1427, 0.0000], [0.0000, 0.0000, 3.6801]], "species": ["Nb", "Au", "Se", "Se", "N"], "frac_coords": [[0.0000, 0.0000, 0.0000], [0.5000, 0.5000, 0.5000], [0.0000, 0.5000, 0.5000], [0.5000, 0.0000, 0.5000], [0.5000, 0.5000, 0.0000]], "magnetic_moment_mub_per_cell": 2.5, "crystal_system": "tetragonal", "raw_formation_energy_ev_per_atom": 1.00}